(1)
Below is a relaxed structure of Rb2FeMoBr6, with properties calculated at the PBE-GGA level.

The structure in CIF format:
```
data_Rb2FeMoBr6
_space_group_name_H-M_alt 'F m -3 m'
_space_group_IT_number 225
_space_group_name_Hall '-F 4 2 3'
_cell_length_a 10.6372
_cell_length_b 10.6372
_cell_length_c 10.6372
_cell_angle_alpha 90.00
_cell_angle_beta 90.00
_cell_angle_gamma 90.00
loop_
_atom_site_label
_atom_site_fract_x
_atom_site_fract_y
_atom_site_fract_z
Rb1 0.2500 0.2500 0.2500
Fe1 0.0000 0.0000 0.0000
Mo1 0.0000 0.0000 0.5000
Br1 0.0000 0.0000 0.2502
```

---

(2)
Below is a relaxed structure of FeMoSe2Br, with properties calculated at the PBE-GGA level.

The structure in CIF format:
```
data_FeMoSe2Br
_space_group_name_H-M_alt 'P 4/m m m'
_space_group_IT_number 123
_space_group_name_Hall '-P 4 2'
_cell_length_a 4.8882
_cell_length_b 4.8882
_cell_length_c 5.3070
_cell_angle_alpha 90.00
_cell_angle_beta 90.00
_cell_angle_gamma 90.00
loop_
_atom_site_label
_atom_site_fract_x
_atom_site_fract_y
_atom_site_fract_z
Fe1 0.0000 0.0000 0.0000
Mo1 0.5000 0.5000 0.5000
Se1 0.0000 0.5000 0.5000
Br1 0.5000 0.5000 0.0000
```

energy relative to the lowest polymorph listed for this composition: 0.0 meV/atom

---

(3)
Below is a relaxed structure of FeSnMoBr2, with properties calculated at the PBE-GGA level.

The structure in CIF format:
```
data_FeSnMoBr2
_space_group_name_H-M_alt 'P 4/m m m'
_space_group_IT_number 123
_space_group_name_Hall '-P 4 2'
_cell_length_a 4.8126
_cell_length_b 4.8126
_cell_length_c 4.7661
_cell_angle_alpha 90.00
_cell_angle_beta 90.00
_cell_angle_gamma 90.00
loop_
_atom_site_label
_atom_site_fract_x
_atom_site_fract_y
_atom_site_fract_z
Fe1 0.0000 0.0000 0.0000
Sn1 0.5000 0.5000 0.5000
Mo1 0.0000 0.0000 0.5000
Br1 0.0000 0.5000 0.0000
```

---

(4)
Below is a relaxed structure of Sr2FeMoBr, with properties calculated at the PBE-GGA level.

The structure in CIF format:
```
data_Sr2FeMoBr
_space_group_name_H-M_alt 'P 4/m m m'
_space_group_IT_number 123
_space_group_name_Hall '-P 4 2'
_cell_length_a 5.8980
_cell_length_b 5.8980
_cell_length_c 4.4925
_cell_angle_alpha 90.00
_cell_angle_beta 90.00
_cell_angle_gamma 90.00
loop_
_atom_site_label
_atom_site_fract_x
_atom_site_fract_y
_atom_site_fract_z
Sr1 0.0000 0.5000 0.0000
Fe1 0.0000 0.0000 0.5000
Mo1 0.5000 0.5000 0.5000
Br1 0.0000 0.0000 0.0000
```

---

(5)
Below is a relaxed structure of Ti2FeMoBr, with properties calculated at the PBE-GGA level.

The structure in CIF format:
```
data_Ti2FeMoBr
_space_group_name_H-M_alt 'P 4/m m m'
_space_group_IT_number 123
_space_group_name_Hall '-P 4 2'
_cell_length_a 4.6259
_cell_length_b 4.6259
_cell_length_c 4.2227
_cell_angle_alpha 90.00
_cell_angle_beta 90.00
_cell_angle_gamma 90.00
loop_
_atom_site_label
_atom_site_fract_x
_atom_site_fract_y
_atom_site_fract_z
Ti1 0.0000 0.5000 0.0000
Fe1 0.0000 0.0000 0.5000
Mo1 0.5000 0.5000 0.5000
Br1 0.0000 0.0000 0.0000
```

---

(6)
Below is a relaxed structure of FeMoWBr2, with properties calculated at the PBE-GGA level.

The structure in CIF format:
```
data_FeMoWBr2
_space_group_name_H-M_alt 'P 4/m m m'
_space_group_IT_number 123
_space_group_name_Hall '-P 4 2'
_cell_length_a 4.6959
_cell_length_b 4.6959
_cell_length_c 4.8308
_cell_angle_alpha 90.00
_cell_angle_beta 90.00
_cell_angle_gamma 90.00
loop_
_atom_site_label
_atom_site_fract_x
_atom_site_fract_y
_atom_site_fract_z
Fe1 0.0000 0.0000 0.0000
Mo1 0.5000 0.5000 0.5000
W1 0.0000 0.0000 0.5000
Br1 0.0000 0.5000 0.0000
```

---

(7)
Below is a relaxed structure of FeBrN, with properties calculated at the PBE-GGA level.

The structure in CIF format:
```
data_FeBrN
_space_group_name_H-M_alt 'P -1'
_space_group_IT_number 2
_space_group_name_Hall '-P 1'
_cell_length_a 3.1052
_cell_length_b 6.5304
_cell_length_c 6.5371
_cell_angle_alpha 101.12
_cell_angle_beta 92.41
_cell_angle_gamma 90.73
loop_
_atom_site_label
_atom_site_fract_x
_atom_site_fract_y
_atom_site_fract_z
Fe1 0.0074 0.3592 0.1270
Br1 0.0276 0.7248 0.2410
N1 0.4887 0.7152 0.8058
```

---

(8)
Below is a relaxed structure of FeBr2N, with properties calculated at the PBE-GGA level.

The structure in CIF format:
```
data_FeBr2N
_space_group_name_H-M_alt 'R -3 m'
_space_group_IT_number 166
_space_group_name_Hall '-R 3 2"'
_cell_length_a 3.7245
_cell_length_b 3.7245
_cell_length_c 30.9302
_cell_angle_alpha 90.00
_cell_angle_beta 90.00
_cell_angle_gamma 120.00
loop_
_atom_site_label
_atom_site_fract_x
_atom_site_fract_y
_atom_site_fract_z
Fe1 0.0000 0.0000 0.0000
Br1 0.0000 0.0000 0.3819
N1 0.0000 0.0000 0.5000
```

energy relative to the lowest polymorph listed for this composition: 0.0 meV/atom

---

Number 1: formation energy (no corrections) -18.61 kcal/mol of atoms. Number 2: formation energy (no corrections) 15.33 kcal/mol of atoms. Number 3: formation energy (no corrections) 19.49 kcal/mol of atoms. Number 4: formation energy (no corrections) 18.08 kcal/mol of atoms. Number 5: formation energy (no corrections) 22.00 kcal/mol of atoms. Number 6: formation energy (no corrections) 37.98 kcal/mol of atoms. Number 7: formation energy (no corrections) 6.38 kcal/mol of atoms. Number 8: formation energy (no corrections) 22.81 kcal/mol of atoms.